Entry 1:
TbPr2Te (PBE, relaxed); formation energy without anion corrections = -2.04 eV per formula unit; calculated volume = 119.1 Å³/f.u.; space group = P4/mmm, No. 123; D(E_F) = 1.15 states/eV/atom
1.0
4.799 0.000 0.000
0.000 4.982 0.000
0.000 0.000 4.982
Pr Te Tb
2 1 1
direct
0.000 0.000 0.500
0.000 0.500 0.000
0.500 0.500 0.500
0.500 0.000 0.000

Entry 2:
TbPrTe (PBE, relaxed); formation energy without anion corrections = -2.34 eV per formula unit; calculated volume = 93.0 Å³/f.u.; space group = I4mm, No. 107; D(E_F) = 1.00 states/eV/atom
1.0
-0.437 2.105 -3.326
-3.695 0.933 1.076
4.097 3.307 3.912
Pr Te Tb
1 1 1
direct
0.625 0.625 0.250
0.293 0.293 0.587
0.932 0.932 0.864

Entry 3:
TbPrTe (PBE, relaxed); formation energy without anion corrections = -2.33 eV per formula unit; calculated volume = 97.5 Å³/f.u.; space group = C2/m, No. 12; D(E_F) = 1.11 states/eV/atom
1.0
-0.367 3.303 -2.361
2.472 -6.240 -9.115
-8.136 -3.063 0.501
Tb Pr Te
4 4 4
direct
0.749 0.339 0.499
0.192 0.081 0.384
0.251 0.661 0.501
0.808 0.919 0.616
0.974 0.647 0.948
0.614 0.842 0.228
0.386 0.158 0.772
0.026 0.353 0.052
0.620 0.544 0.240
0.424 0.842 0.849
0.380 0.456 0.760
0.576 0.158 0.151

In the order shown, the computed size of the total moment values come out to 0.00 0.00 0.00 μB per cell.
In the order shown, the computed E above lowest polymorph values come out to 0.065 0.000 0.003 eV/atom.
In the order shown, the computed density values come out to 7.9 7.6 7.3 g/cm³.